{"formula": "Zr2TcRu", "functional": "PBE", "state": "optimized geometry", "cell": [[-3.847, -0.263, 1.709], [-1.177, -0.514, -2.728], [0.401, -5.679, 0.029]], "species": ["Ru", "Zr", "Zr", "Tc"], "fractional_positions": [[0.500, 0.250, 0.250], [0.000, 0.996, 0.000], [0.000, 0.504, 0.500], [0.500, 0.750, 0.750]], "crystal_system": "monoclinic", "vol_a3_per_atom": 17.9, "ef_mev_per_atom": -160, "m_tot_mub_per_cell": 0.00}